Density functional theory data (PBE) for a geometry-optimized Pm4Pr3Er3 structure.

Properties
As for the total energy: -45.86 eV for the cell shown. The value obtained for the formation energy is 0.117 eV per atom. For the density of states at the Fermi level, the calculation gives 9.4 states/eV per cell. As for the crystal system: orthorhombic.

a b c (Å): 3.796 9.490 9.490
angles (deg): 90.65 90.00 90.00
Element x y z (fractional)
Pm1 0.000 0.631 0.369
Pm2 0.000 0.368 0.632
Pm3 0.000 0.874 0.868
Pm4 0.000 0.132 0.126
Pr1 0.500 0.829 0.171
Pr2 0.500 0.329 0.330
Pr3 0.500 0.670 0.671
Er1 0.000 0.494 0.997
Er2 0.000 0.003 0.506
Er3 0.500 0.171 0.829